(1)
First-principles (GGA-PBE) data for crystalline Dy3Ag8 at its relaxed geometry, as listed in Alexandria.

## Properties
Energy of formation in kJ per mole of atoms: -21.5
E_tot in Ry per atom: -0.26100

```
data_Dy3Ag8
_chemical_formula_sum 'Dy6 Ag16'
_space_group_name_H-M_alt 'C 1 2/m 1'
_space_group_IT_number 12
_cell_length_a 9.7410
_cell_length_b 4.1714
_cell_length_c 11.6986
_cell_angle_alpha 90.00
_cell_angle_beta 104.64
_cell_angle_gamma 90.00
loop_
_space_group_symop_operation_xyz
'x,y,z'
'-x,-y,-z'
'-x,y,-z'
'x,-y,z'
'x+1/2,y+1/2,z'
'-x+1/2,-y+1/2,-z'
'-x+1/2,y+1/2,-z'
'x+1/2,-y+1/2,z'
loop_
_atom_site_label
_atom_site_fract_x
_atom_site_fract_y
_atom_site_fract_z
Dy1 0.0000 0.0000 0.0000
Dy2 0.1070 0.0000 0.6451
Ag1 0.0560 0.5000 0.8248
Ag2 0.1333 0.5000 0.4567
Ag3 0.1630 0.0000 0.2678
Ag4 0.2264 0.5000 0.0927
```

***

(2)
First-principles (GGA-PBE) data for crystalline Dy3Ag5 at its relaxed geometry, as listed in Alexandria.

## Properties
Energy of formation in kJ per mole of atoms: -24.3
E_tot in Ry per atom: -0.27634

```
data_Dy3Ag5
_chemical_formula_sum 'Dy3 Ag5'
_space_group_name_H-M_alt 'P -6 2 m'
_space_group_IT_number 189
_space_group_name_Hall 'P -6 -2'
_cell_length_a 7.4747
_cell_length_b 7.4747
_cell_length_c 3.8342
_cell_angle_alpha 90.00
_cell_angle_beta 90.00
_cell_angle_gamma 120.00
loop_
_atom_site_label
_atom_site_fract_x
_atom_site_fract_y
_atom_site_fract_z
Dy1 0.0000 0.6158 0.0000
Ag1 0.0000 0.2334 0.5000
Ag2 0.3333 0.6667 0.5000
```